Record 1
Cr2AsBr | PBE | optimized geometry

Output
calculated volume: 73.79 Å³/cell
E_form (uncorrected): 0.329 eV per atom
VASP energy: -0.22282 Ha/atom
space group: No. 225
excess energy over the best structure of this formula in the dataset: 338 meV/atom

POSCAR file:
```
Cr2AsBr
1.0
-0.522 -0.161 4.676
-3.388 -2.659 1.900
1.126 -3.915 2.361
Cr As Br
2 1 1
Cartesian
-2.088 -5.051 6.703
-0.696 -1.684 2.234
0.000 0.000 0.000
-1.392 -3.368 4.469
```

***

Record 2
Cr2AsBr | PBE | optimized geometry

Output
calculated volume: 79.83 Å³/cell
E_form (uncorrected): 0.216 eV per atom
VASP energy: -0.22698 Ha/atom
space group: No. 160
excess energy over the best structure of this formula in the dataset: 225 meV/atom

POSCAR file:
```
Cr2AsBr
1.0
9.554 0.027 0.016
9.031 3.118 0.016
9.031 1.528 2.718
Cr Br As
2 1 1
Cartesian
27.337 4.626 2.722
7.172 1.214 0.714
19.917 3.370 1.983
14.613 2.473 1.455
```

***

Record 3
CrAsBr | PBE | optimized geometry

Output
calculated volume: 71.43 Å³/cell
E_form (uncorrected): 0.081 eV per atom
VASP energy: -0.19236 Ha/atom
space group: No. 42
excess energy over the best structure of this formula in the dataset: 277 meV/atom

POSCAR file:
```
CrAsBr
1.0
7.627 0.061 -0.049
6.754 3.147 -0.026
0.873 -0.636 3.019
As Br Cr
1 1 1
Cartesian
1.571 -0.437 2.859
4.721 0.459 2.138
9.833 1.914 0.966
```

***

Record 4
CrAs2Br | PBE | optimized geometry

Output
calculated volume: 86.09 Å³/cell
E_form (uncorrected): 0.029 eV per atom
VASP energy: -0.18813 Ha/atom
space group: No. 47
excess energy over the best structure of this formula in the dataset: 144 meV/atom

POSCAR file:
```
CrAs2Br
1.0
-2.106 1.362 2.705
-2.097 0.365 -1.817
-2.797 -7.673 1.685
Br Cr As
1 1 2
Cartesian
-2.801 -1.055 0.865
-4.199 -4.892 1.708
-2.540 -6.968 1.530
-1.656 -4.542 0.998
```

***

Record 5
CrAsBr | PBE | optimized geometry

Output
calculated volume: 73.23 Å³/cell
E_form (uncorrected): 0.768 eV per atom
VASP energy: -0.16712 Ha/atom
space group: No. 216
excess energy over the best structure of this formula in the dataset: 964 meV/atom

POSCAR file:
```
CrAsBr
1.0
4.696 0.000 0.000
2.348 4.067 0.000
2.348 1.356 3.834
Br Cr As
1 1 1
Cartesian
0.000 0.000 0.000
4.696 2.711 1.917
7.044 4.067 2.876
```

***

Record 6
CrAs2Br | PBE | optimized geometry

Output
calculated volume: 79.00 Å³/cell
E_form (uncorrected): 0.573 eV per atom
VASP energy: -0.16816 Ha/atom
space group: No. 123
excess energy over the best structure of this formula in the dataset: 687 meV/atom

POSCAR file:
```
CrAs2Br
1.0
-2.968 4.074 0.443
-1.520 -1.603 4.552
2.321 1.547 1.320
As Cr Br
2 1 1
Cartesian
0.000 0.000 0.000
-2.244 1.236 2.498
0.401 -0.028 2.936
-0.323 2.811 0.881
```

***

Record 7
CrAs2Br | PBE | optimized geometry

Output
calculated volume: 74.58 Å³/cell
E_form (uncorrected): 0.136 eV per atom
VASP energy: -0.18421 Ha/atom
space group: No. 166
excess energy over the best structure of this formula in the dataset: 251 meV/atom

POSCAR file:
```
CrAs2Br
1.0
8.123 -0.017 -0.010
7.459 3.218 -0.010
7.459 1.532 2.830
As Cr Br
2 1 1
Cartesian
11.098 2.279 1.353
0.423 0.087 0.052
17.281 3.549 2.107
5.760 1.183 0.702
```

***

Record 8
CrAsBr | PBE | optimized geometry

Output
calculated volume: 167.37 Å³/cell
E_form (uncorrected): -0.196 eV per atom
VASP energy: -0.20255 Ha/atom
space group: No. 38
excess energy over the best structure of this formula in the dataset: 0 meV/atom

POSCAR file:
```
CrAsBr
1.0
3.616 0.000 0.000
-1.808 3.387 0.000
0.000 0.000 13.665
Br Cr As
2 2 2
Cartesian
1.808 1.290 5.096
1.808 1.290 8.569
0.000 1.300 6.832
1.808 0.554 0.000
0.000 1.734 12.420
0.000 1.734 1.244
```

***

Record 9
CrAs3Br | PBE | optimized geometry

Output
calculated volume: 102.97 Å³/cell
E_form (uncorrected): 0.245 eV per atom
VASP energy: -0.17655 Ha/atom
space group: No. 221
excess energy over the best structure of this formula in the dataset: 0 meV/atom

POSCAR file:
```
CrAs3Br
1.0
4.687 0.000 0.000
0.000 4.687 0.000
0.000 0.000 4.687
Cr As Br
1 3 1
Cartesian
0.000 0.000 0.000
0.000 2.344 0.000
2.344 0.000 0.000
0.000 0.000 2.344
2.344 2.344 2.344
```

***

Record 10
Cr2AsBr | PBE | optimized geometry

Output
calculated volume: 81.43 Å³/cell
E_form (uncorrected): 0.100 eV per atom
VASP energy: -0.23124 Ha/atom
space group: No. 47
excess energy over the best structure of this formula in the dataset: 109 meV/atom

POSCAR file:
```
Cr2AsBr
1.0
-2.248 -0.619 -2.428
-2.475 -0.330 2.376
-1.378 6.866 -0.475
As Cr Br
1 2 1
Cartesian
-2.087 1.325 -0.739
-2.469 2.806 1.571
-1.932 0.133 1.755
-4.014 4.593 0.211
```

***

Record 11
CrAs2Br | PBE | optimized geometry

Output
calculated volume: 111.82 Å³/cell
E_form (uncorrected): 0.219 eV per atom
VASP energy: -0.18118 Ha/atom
space group: No. 35
excess energy over the best structure of this formula in the dataset: 333 meV/atom

POSCAR file:
```
CrAs2Br
1.0
4.020 -0.262 0.000
-2.230 3.355 0.000
0.000 0.000 8.665
As Cr Br
2 1 1
Cartesian
0.000 0.000 8.536
0.895 1.546 1.483
0.895 1.546 6.714
0.000 0.000 4.929
```

***

Record 12
CrAs2Br | PBE | optimized geometry

Output
calculated volume: 80.44 Å³/cell
E_form (uncorrected): 0.528 eV per atom
VASP energy: -0.16981 Ha/atom
space group: No. 216
excess energy over the best structure of this formula in the dataset: 642 meV/atom

POSCAR file:
```
CrAs2Br
1.0
4.845 0.000 0.000
2.423 4.196 0.000
2.423 1.399 3.956
As Cr Br
2 1 1
Cartesian
0.000 0.000 0.000
2.423 1.399 0.989
7.268 4.196 2.967
4.845 2.798 1.978
```

***

Record 13
Cr2AsBr | PBE | optimized geometry

Output
calculated volume: 79.92 Å³/cell
E_form (uncorrected): 0.843 eV per atom
VASP energy: -0.20392 Ha/atom
space group: No. 216
excess energy over the best structure of this formula in the dataset: 853 meV/atom

POSCAR file:
```
Cr2AsBr
1.0
-4.622 0.526 1.317
-2.716 -3.898 0.899
-1.353 -1.011 4.530
Cr Br As
2 1 1
Cartesian
0.000 0.000 0.000
-2.173 -1.096 1.686
-6.519 -3.287 5.059
-4.346 -2.191 3.373
```

***

Record 14
CrAs2Br | PBE | optimized geometry

Output
calculated volume: 101.15 Å³/cell
E_form (uncorrected): 0.010 eV per atom
VASP energy: -0.18883 Ha/atom
space group: No. 160
excess energy over the best structure of this formula in the dataset: 125 meV/atom

POSCAR file:
```
CrAs2Br
1.0
8.687 -0.331 -0.195
8.029 3.334 -0.195
8.029 1.442 3.012
Br Cr As
1 1 2
Cartesian
11.602 2.084 1.229
18.355 3.297 1.944
6.998 1.257 0.741
0.162 0.029 0.017
```

***

Record 15
Cr2AsBr | PBE | optimized geometry

Output
calculated volume: 83.95 Å³/cell
E_form (uncorrected): 0.214 eV per atom
VASP energy: -0.22704 Ha/atom
space group: No. 65
excess energy over the best structure of this formula in the dataset: 223 meV/atom

POSCAR file:
```
Cr2AsBr
1.0
3.541 -0.108 0.000
-1.326 3.285 0.000
0.000 0.000 7.306
Cr As Br
2 1 1
Cartesian
0.000 0.000 3.413
0.000 0.000 0.240
1.108 1.589 1.827
1.108 1.589 5.480
```

***

Record 16
CrAs2Br | PBE | optimized geometry

Output
calculated volume: 88.39 Å³/cell
E_form (uncorrected): -0.009 eV per atom
VASP energy: -0.18953 Ha/atom
space group: No. 10
excess energy over the best structure of this formula in the dataset: 106 meV/atom

POSCAR file:
```
CrAs2Br
1.0
4.426 0.000 0.000
0.000 4.735 -0.046
0.000 2.222 4.196
Br As Cr
1 2 1
Cartesian
2.213 1.739 1.037
0.000 4.045 2.413
0.000 6.391 3.812
2.213 5.218 3.112
```

***

Record 17
Cr2AsBr | PBE | optimized geometry

Output
calculated volume: 84.75 Å³/cell
E_form (uncorrected): 0.329 eV per atom
VASP energy: -0.22283 Ha/atom
space group: No. 47
excess energy over the best structure of this formula in the dataset: 338 meV/atom

POSCAR file:
```
Cr2AsBr
1.0
3.928 0.000 0.000
0.000 6.257 0.000
0.000 0.000 3.449
Br Cr As
1 2 1
Cartesian
0.000 3.128 1.724
1.964 3.128 0.000
0.000 0.000 0.000
1.964 0.000 1.724
```

***

Record 18
CrAsBr | PBE | optimized geometry

Output
calculated volume: 62.62 Å³/cell
E_form (uncorrected): 0.199 eV per atom
VASP energy: -0.18803 Ha/atom
space group: No. 216
excess energy over the best structure of this formula in the dataset: 395 meV/atom

POSCAR file:
```
CrAsBr
1.0
4.457 0.000 0.000
2.229 3.860 0.000
2.229 1.287 3.639
Cr Br As
1 1 1
Cartesian
6.686 3.860 2.730
4.457 2.573 1.820
0.000 0.000 0.000
```

***

Record 19
Cr3AsBr | PBE | optimized geometry

Output
calculated volume: 110.83 Å³/cell
E_form (uncorrected): 1.175 eV per atom
VASP energy: -0.21548 Ha/atom
space group: No. 221
excess energy over the best structure of this formula in the dataset: 0 meV/atom

POSCAR file:
```
Cr3AsBr
1.0
4.803 0.000 0.000
0.000 4.803 0.000
0.000 0.000 4.803
Br Cr As
1 3 1
Cartesian
0.000 0.000 0.000
0.000 0.000 2.402
2.402 0.000 0.000
0.000 2.402 0.000
2.402 2.402 2.402
```

***

Record 20
Cr2AsBr | PBE | optimized geometry

Output
calculated volume: 89.11 Å³/cell
E_form (uncorrected): 0.342 eV per atom
VASP energy: -0.22236 Ha/atom
space group: No. 119
excess energy over the best structure of this formula in the dataset: 351 meV/atom

POSCAR file:
```
Cr2AsBr
1.0
-3.569 2.277 5.730
-2.939 -2.866 5.823
5.490 0.592 -4.502
Br As Cr
1 1 2
Cartesian
-0.667 1.287 3.503
-3.254 -0.295 5.777
-0.352 -1.284 3.549
0.000 0.000 0.000
```

***

Record 21
Cr2AsBr | PBE | optimized geometry

Output
calculated volume: 81.12 Å³/cell
E_form (uncorrected): -0.009 eV per atom
VASP energy: -0.23525 Ha/atom
space group: No. 166
excess energy over the best structure of this formula in the dataset: 0 meV/atom

POSCAR file:
```
Cr2AsBr
1.0
6.777 -0.578 -0.343
6.024 3.159 -0.343
6.024 1.214 2.936
Cr Br As
2 1 1
Cartesian
18.542 3.737 2.216
9.696 1.954 1.159
14.119 2.846 1.687
4.706 0.949 0.562
```

***

Record 22
Cr2AsBr | PBE | optimized geometry

Output
calculated volume: 82.58 Å³/cell
E_form (uncorrected): 0.311 eV per atom
VASP energy: -0.22350 Ha/atom
space group: No. 12
excess energy over the best structure of this formula in the dataset: 320 meV/atom

POSCAR file:
```
Cr2AsBr
1.0
5.142 -0.002 0.028
0.184 5.139 0.028
0.986 0.951 3.136
As Cr Br
1 2 1
Cartesian
3.064 0.475 1.582
2.663 2.569 0.028
0.000 0.000 0.000
0.585 3.045 1.582
```

***

Record 23
Cr2AsBr | PBE | optimized geometry

Output
calculated volume: 84.97 Å³/cell
E_form (uncorrected): 0.080 eV per atom
VASP energy: -0.23197 Ha/atom
space group: No. 44
excess energy over the best structure of this formula in the dataset: 89 meV/atom

POSCAR file:
```
Cr2AsBr
1.0
-2.829 -1.955 6.414
1.352 -4.526 5.536
2.005 5.059 -4.832
Cr Br As
2 1 1
Cartesian
-0.679 0.382 2.949
-1.466 -6.431 11.858
1.255 -1.592 3.779
-0.798 -3.502 6.457
```

***

Record 24
Cr2AsBr | PBE | optimized geometry

Output
calculated volume: 77.56 Å³/cell
E_form (uncorrected): 0.241 eV per atom
VASP energy: -0.22605 Ha/atom
space group: No. 123
excess energy over the best structure of this formula in the dataset: 250 meV/atom

POSCAR file:
```
Cr2AsBr
1.0
-1.362 -0.521 -3.004
-0.344 -3.243 0.719
-6.311 1.255 2.643
Cr As Br
2 1 1
Cartesian
-2.866 0.570 1.200
-0.289 0.057 0.121
-2.431 -1.568 -0.482
-5.586 -0.941 0.839
```

***

Record 25
CrAs3Br | PBE | optimized geometry

Output
calculated volume: 124.64 Å³/cell
E_form (uncorrected): 1.778 eV per atom
VASP energy: -0.12019 Ha/atom
space group: No. 221
excess energy over the best structure of this formula in the dataset: 1533 meV/atom

POSCAR file:
```
CrAs3Br
1.0
-1.579 0.920 4.649
2.522 -3.986 1.645
4.013 2.867 0.795
Cr As Br
1 3 1
Cartesian
2.478 -0.099 3.545
2.006 1.433 0.398
-0.789 0.460 2.324
1.261 -1.993 0.823
0.000 0.000 0.000
```

***

Record 26
CrAs2Br | PBE | optimized geometry

Output
calculated volume: 91.60 Å³/cell
E_form (uncorrected): 0.124 eV per atom
VASP energy: -0.18468 Ha/atom
space group: No. 99
excess energy over the best structure of this formula in the dataset: 238 meV/atom

POSCAR file:
```
CrAs2Br
1.0
3.460 0.000 0.000
0.000 3.460 0.000
0.000 0.000 7.650
As Br Cr
2 1 1
Cartesian
1.730 1.730 1.072
0.000 0.000 0.011
0.000 0.000 4.393
1.730 1.730 6.000
```

***

Record 27
CrAsBr | PBE | optimized geometry

Output
calculated volume: 61.72 Å³/cell
E_form (uncorrected): 0.069 eV per atom
VASP energy: -0.19281 Ha/atom
space group: No. 156
excess energy over the best structure of this formula in the dataset: 265 meV/atom

POSCAR file:
```
CrAsBr
1.0
3.203 0.000 0.000
-1.601 2.774 0.000
0.000 0.000 6.949
As Br Cr
1 1 1
Cartesian
0.000 0.000 6.316
0.000 1.849 2.973
1.601 0.925 4.609
```

***

Record 28
Cr2AsBr | PBE | optimized geometry

Output
calculated volume: 83.06 Å³/cell
E_form (uncorrected): 0.048 eV per atom
VASP energy: -0.23315 Ha/atom
space group: No. 99
excess energy over the best structure of this formula in the dataset: 57 meV/atom

POSCAR file:
```
Cr2AsBr
1.0
-0.805 -2.949 -1.339
3.122 -0.340 -1.130
1.926 -3.408 6.348
Cr As Br
2 1 1
Cartesian
1.600 -2.427 0.223
0.077 -0.136 0.253
0.740 -1.310 2.439
2.788 -4.529 4.138
```

***

Record 29
CrAs2Br | PBE | optimized geometry

Output
calculated volume: 84.32 Å³/cell
E_form (uncorrected): 0.315 eV per atom
VASP energy: -0.17763 Ha/atom
space group: No. 139
excess energy over the best structure of this formula in the dataset: 430 meV/atom

POSCAR file:
```
CrAs2Br
1.0
4.782 0.025 0.167
-1.543 4.527 0.167
1.486 2.089 4.041
As Br Cr
2 1 1
Cartesian
0.000 0.000 0.000
1.620 2.276 0.167
3.134 1.057 2.104
-0.028 3.308 2.104
```

***

Record 30
Cr2AsBr | PBE | optimized geometry

Output
calculated volume: 92.50 Å³/cell
E_form (uncorrected): 0.262 eV per atom
VASP energy: -0.22529 Ha/atom
space group: No. 71
excess energy over the best structure of this formula in the dataset: 271 meV/atom

POSCAR file:
```
Cr2AsBr
1.0
-1.535 -4.876 -1.496
3.318 -1.842 3.737
-4.618 2.631 -0.337
Cr As Br
2 1 1
Cartesian
0.938 -3.535 1.179
1.737 -6.542 2.182
-2.631 -2.802 -0.356
-0.204 -1.285 2.260
```

***

Record 31
CrAs2Br | PBE | optimized geometry

Output
calculated volume: 92.00 Å³/cell
E_form (uncorrected): 0.324 eV per atom
VASP energy: -0.17731 Ha/atom
space group: No. 139
excess energy over the best structure of this formula in the dataset: 438 meV/atom

POSCAR file:
```
CrAs2Br
1.0
6.853 1.664 0.000
3.754 5.970 0.000
-5.304 -3.817 2.653
Cr As Br
1 2 1
Cartesian
3.427 0.832 1.327
0.000 0.000 0.000
5.304 3.817 0.000
1.877 2.985 1.327
```